[1]
The following is a DFT calculation (PBE-GGA) of crystalline TiFeI3 at its relaxed geometry.

Cell and atoms, written as extended XYZ:
```
5
Lattice="-0.066 1.376 -5.387 1.513 -5.180 -1.341 -5.350 -1.482 -0.313" Properties=species:S:1:pos:R:3 pbc="T T T"
I 0.757 -2.590 -0.671
I -2.675 -0.741 -0.157
I -0.033 0.688 -2.694
Fe -1.951 -2.643 -3.521
Ti 0.000 0.000 0.000
```

Values from the calculation:
The value obtained for the formation energy from raw total energies is 2.3 eV per formula unit. The value obtained for the distance to the lowest polymorph of the same formula is 0.0 meV/atom.


[2]
The following is a DFT calculation (PBE-GGA) of crystalline LaYTeN2 at its relaxed geometry.

Cell and atoms, written as extended XYZ:
```
5
Lattice="4.509 0.000 0.000 0.000 4.509 0.000 0.000 0.000 5.894" Properties=species:S:1:pos:R:3 pbc="T T T"
Y 0.000 0.000 0.000
N 0.000 2.255 0.000
N 2.255 0.000 0.000
Te 0.000 0.000 2.947
La 2.255 2.255 2.947
```

Values from the calculation:
The value obtained for the formation energy from raw total energies is -0.9 eV per formula unit. The value obtained for the distance to the lowest polymorph of the same formula is 0.0 meV/atom.


[3]
The following is a DFT calculation (PBE-GGA) of crystalline CeTh3Rh4 at its relaxed geometry.

Cell and atoms, written as extended XYZ:
```
8
Lattice="-2.670 -2.369 -1.957 4.371 -5.525 0.726 -1.435 -3.382 6.054" Properties=species:S:1:pos:R:3 pbc="T T T"
Rh -0.488 -9.043 3.146
Rh 1.581 -6.161 1.070
Rh -1.917 -4.604 -0.280
Rh -1.315 -5.116 3.753
Th -2.052 -2.876 2.049
Th -4.105 -5.752 4.097
Th -1.202 -6.824 1.433
Ce 0.850 -3.948 -0.615
```

Values from the calculation:
The calculated formation energy comes out at -855 meV/atom. The value obtained for the distance to the lowest polymorph of the same formula is 0.0 meV/atom.


[4]
The following is a DFT calculation (PBE-GGA) of crystalline GdYCo4 at its relaxed geometry.

Cell and atoms, written as extended XYZ:
```
6
Lattice="5.090 0.000 0.000 2.545 4.408 0.000 2.545 1.469 4.156" Properties=species:S:1:pos:R:3 pbc="T T T"
Gd 5.090 2.939 2.078
Y 2.545 1.469 1.039
Co 7.636 4.408 1.559
Co 7.636 2.939 3.637
Co 6.363 5.143 3.637
Co 8.908 5.143 3.637
```

Values from the calculation:
The calculated formation energy comes out at -175 meV/atom.


[5]
The following is a DFT calculation (PBE-GGA) of crystalline Pm9Sm2Mg at its relaxed geometry.

Cell and atoms, written as extended XYZ:
```
12
Lattice="-0.175 -1.219 4.949 1.941 -4.595 -1.063 14.226 5.575 1.876" Properties=species:S:1:pos:R:3 pbc="T T T"
Pm 0.883 -2.907 1.943
Pm 5.574 -1.069 2.562
Pm 10.418 0.830 3.201
Pm 2.234 0.301 2.781
Pm 7.025 2.178 3.413
Pm 11.816 4.056 4.045
Pm 3.292 -1.388 -0.225
Pm 8.083 0.490 0.407
Pm 12.875 2.368 1.039
Sm 4.696 1.840 0.619
Sm 9.530 3.735 1.257
Mg 0.000 0.000 0.000
```

Values from the calculation:
The calculated formation energy comes out at 14 meV/atom.


[6]
The following is a DFT calculation (PBE-GGA) of crystalline KTcHgI6 at its relaxed geometry.

Cell and atoms, written as extended XYZ:
```
18
Lattice="8.189 0.000 0.000 -4.094 7.092 0.000 0.000 0.000 12.711" Properties=species:S:1:pos:R:3 pbc="T T T"
K 0.000 4.728 3.178
K 4.094 2.364 9.533
Tc 4.094 2.364 3.178
Tc 0.000 4.728 9.533
Hg 0.000 0.000 0.000
Hg 0.000 0.000 6.355
I 3.047 4.333 1.551
I 6.323 2.287 1.551
I -1.181 6.619 7.906
I -2.229 4.805 11.160
I 1.866 2.287 4.804
I 5.142 4.333 4.804
I 1.181 6.619 11.160
I 5.276 0.473 4.804
I -1.047 2.759 7.906
I 2.913 0.473 1.551
I 2.229 4.805 7.906
I 1.047 2.759 11.160
```

Values from the calculation:
The value obtained for the formation energy from raw total energies is -3.0 eV per formula unit.


[7]
The following is a DFT calculation (PBE-GGA) of crystalline BaPrUN4 at its relaxed geometry.

Cell and atoms, written as extended XYZ:
```
14
Lattice="6.121 0.000 0.000 0.000 6.135 0.000 -3.060 0.000 6.518" Properties=species:S:1:pos:R:3 pbc="T T T"
Ba 3.060 4.602 1.298
Ba 0.000 1.534 5.219
Pr 0.000 1.534 1.416
Pr 3.060 4.602 5.102
U 0.000 4.602 3.189
U 3.060 1.534 3.329
N 3.060 1.534 5.503
N 0.000 4.602 5.204
N 0.000 4.602 1.015
N 3.060 1.534 1.314
N 1.530 3.068 3.259
N -1.530 0.000 3.259
N 1.530 0.000 3.259
N -1.530 3.068 3.259
```

Values from the calculation:
The value obtained for the formation energy from raw total energies is -6.8 eV per formula unit.


[8]
The following is a DFT calculation (PBE-GGA) of crystalline Ca5Gd at its relaxed geometry.

Cell and atoms, written as extended XYZ:
```
6
Lattice="-3.087 -0.457 -2.680 1.265 -6.085 -0.419 -6.510 1.334 7.269" Properties=species:S:1:pos:R:3 pbc="T T T"
Ca -1.313 -3.608 2.128
Ca -3.931 -1.142 4.722
Ca -0.911 -3.271 -1.550
Ca -3.453 -0.784 0.954
Ca -4.878 -4.424 3.216
Gd 0.000 0.000 0.000
```

Values from the calculation:
The calculated formation energy comes out at 71 meV/atom.


[9]
The following is a DFT calculation (PBE-GGA) of crystalline HfZn2Hg2 at its relaxed geometry.

Cell and atoms, written as extended XYZ:
```
10
Lattice="-6.542 -4.124 -0.170 1.819 -2.594 -7.057 1.541 -2.499 1.316" Properties=species:S:1:pos:R:3 pbc="T T T"
Zn -0.889 -3.856 -6.281
Zn -4.636 -5.239 -4.519
Zn -3.834 -2.863 -0.946
Zn -0.087 -1.480 -2.708
Hf 0.000 0.000 0.000
Hf -2.362 -3.359 -3.614
Hg 0.824 -3.763 -4.180
Hg -2.196 -6.183 -5.237
Hg -4.007 -5.454 -1.732
Hg -0.986 -3.034 -0.674
```

Values from the calculation:
The calculated formation energy comes out at 129 meV/atom. The value obtained for the distance to the lowest polymorph of the same formula is 0.0 meV/atom.


[10]
The following is a DFT calculation (PBE-GGA) of crystalline Mg2CrTe at its relaxed geometry.

Cell and atoms, written as extended XYZ:
```
4
Lattice="7.158 0.337 1.074 -2.761 3.824 0.107 1.636 1.085 3.455" Properties=species:S:1:pos:R:3 pbc="T T T"
Cr 2.198 2.081 0.590
Mg 0.000 0.000 0.000
Mg 4.397 0.711 2.264
Te -0.563 2.455 1.781
```

Values from the calculation:
The value obtained for the formation energy from raw total energies is 0.4 eV per formula unit.


[11]
The following is a DFT calculation (PBE-GGA) of crystalline Pr6Nd2DyY at its relaxed geometry.

Cell and atoms, written as extended XYZ:
```
20
Lattice="-3.447 -8.602 3.492 8.606 -2.840 -0.414 -2.614 4.771 7.259" Properties=species:S:1:pos:R:3 pbc="T T T"
Pr -1.115 2.799 5.622
Pr -1.732 -0.342 7.835
Pr 3.659 -9.469 4.715
Pr 4.277 -6.328 2.502
Pr 6.293 -3.418 3.786
Pr 4.223 -3.189 0.532
Pr -3.748 -3.252 6.551
Pr -1.678 -3.481 9.805
Pr 4.378 -0.643 3.750
Pr 2.224 -3.310 3.245
Pr -1.833 -6.028 6.587
Pr 0.321 -3.361 7.092
Nd 3.516 -2.864 6.363
Nd 1.900 -0.285 1.443
Nd -0.971 -3.807 3.974
Nd 0.645 -6.386 8.894
Dy 1.113 -0.492 4.994
Dy 1.432 -6.178 5.343
Y 7.502 -4.826 0.624
Y -4.957 -1.844 9.713
```

Values from the calculation:
The calculated formation energy comes out at 110 meV/atom.


[12]
The following is a DFT calculation (PBE-GGA) of crystalline ScTc2Se at its relaxed geometry.

Cell and atoms, written as extended XYZ:
```
4
Lattice="-2.752 -3.603 1.504 1.407 -1.976 -2.160 3.120 -1.141 2.975" Properties=species:S:1:pos:R:3 pbc="T T T"
Sc -0.244 -2.581 0.956
Se 2.019 -4.139 1.363
Tc 1.306 -1.811 -1.951
Tc 2.365 -1.723 0.198
```

Values from the calculation:
The value obtained for the formation energy from raw total energies is -0.4 eV per formula unit.